Record 1
MnZn2Hg | GGA-PBE | optimized geometry

The structure belongs to space group I-42d (No. 122); the cell edges are 7.353, 7.353 and 5.417 Å and the angles 90.00°, 90.00° and 90.00°. The inequivalent atoms are Mn at (0.000, 0.000, 0.000), Zn at (0.237, 0.750, 0.125) and Hg at (0.000, 0.000, 0.500).

Its uncorrected energy is -2.65 eV per atom. The value obtained for the density of states at the Fermi level is 0.38 states/eV per atom. The energy relative to the elements is 0.353 eV/atom.

---

Record 2
POs3Br | GGA-PBE | optimized geometry

The structure belongs to space group Pm-3m (No. 221); the cell edges are 4.561, 4.561 and 4.561 Å and the angles 90.00°, 90.00° and 90.00°. The inequivalent atoms are P at (0.000, 0.000, 0.000), Os at (0.000, 0.500, 0.500) and Br at (0.500, 0.500, 0.500).

For the uncorrected formation energy, the calculation gives 13.7 eV/f.u. Its uncorrected energy is -5.42 eV per atom. The value obtained for the density of states at the Fermi level is 0.91 states/eV per atom. The value obtained for the polymorph energy (0 for the lowest one) is 1.179 eV/atom.

---

Record 3
Pr4Sm2YTm2 | GGA-PBE | optimized geometry

The structure belongs to space group C2/m (No. 12); the cell edges are 15.454, 5.145 and 8.090 Å and the angles 90.00°, 108.58° and 90.00°. The inequivalent atoms are Pr at (0.054, 0.000, 0.331), Pr at (0.223, 0.500, 0.330), Sm at (0.112, 0.500, 0.670), Y at (0.000, 0.500, 0.000) and Tm at (0.168, 0.000, 0.000).

Its uncorrected energy is -4.86 eV per atom. The value obtained for the density of states at the Fermi level is 1.66 states/eV per atom. The energy relative to the elements is 0.024 eV/atom.

---

Which value of uncorrected energy does entry 2 give? -5.42 eV per atom